Here is a relaxed Tb2GaNi3 crystal from the Alexandria database. Energies are from PBE-GGA.

**Magnetization**: 0.00 μB per cell
**Calculated volume**: 218.13 Å³ per cell
**Polymorph energy (0 for the lowest one)**: 0.007 eV/atom
**D(E_F)**: 0.6847 states/eV per atom
**DFT total energy**: -5.405 eV per atom

Cell lengths 5.5595, 5.5595, 8.0092 Å; angles 107.86, 107.86, 96.67 degrees
With the nearest neighbours (Å) after each atom.
Positions (direct):
Tb (0.2500, 0.7500, 0.5000)  8 Ni 3.00-3.03, 4 Ga 3.02
Tb (0.7558, 0.7558, 0.0000)  10 Ni 2.96-3.05, 2 Ga 3.03
Tb (0.7500, 0.2500, 0.5000)  8 Ni 3.00-3.03, 4 Ga 3.02
Tb (0.2442, 0.2442, 0.0000)  10 Ni 2.96-3.05, 2 Ga 3.03
Ga (0.6665, 0.6665, 0.3331)  3 Ni 2.39
Ga (0.3335, 0.3335, 0.6669)  3 Ni 2.39
Ni (0.3332, 0.8335, 0.1667)  2 Ni 2.37-2.38, 1 Ga 2.39
Ni (0.1665, 0.6668, 0.8333)  2 Ni 2.37-2.38, 1 Ga 2.39
Ni (0.6668, 0.1665, 0.8333)  2 Ni 2.37-2.38, 1 Ga 2.39
Ni (0.8335, 0.3332, 0.1667)  2 Ni 2.37-2.38, 1 Ga 2.39
Ni (0.1653, 0.1653, 0.3305)  2 Ni 2.38, 1 Ga 2.39
Ni (0.8347, 0.8347, 0.6695)  2 Ni 2.38, 1 Ga 2.39